# 1
DFT (GGA-PBE) results for crystalline CdRe2 at its relaxed geometry.

a b c (Å): 2.699 4.760 16.982
angles (deg): 90.00 90.00 90.00
Fractional positions:
Re 0.500 0.750 0.684
Re 0.000 0.750 0.965
Re 0.000 0.750 0.816
Re 0.500 0.750 0.535
Re 0.000 0.250 0.035
Re 0.000 0.250 0.184
Re 0.500 0.250 0.465
Re 0.500 0.250 0.316
Cd 0.000 0.250 0.632
Cd 0.500 0.750 0.132
Cd 0.500 0.250 0.868
Cd 0.000 0.750 0.368

* E above lowest polymorph: 1.76 eV per formula unit
* volume: 218.1 Å³/cell
* calculated density: 14.76 Mg/m³
* total magnetic moment: 0.000 μB per atom


# 2
DFT (GGA-PBE) results for crystalline CdRe at its relaxed geometry.

a b c (Å): 2.997 8.559 2.985
angles (deg): 90.00 90.00 100.08
Fractional positions:
Cd 0.421 0.841 0.250
Cd 0.579 0.159 0.750
Re 0.793 0.585 0.750
Re 0.207 0.415 0.250

* E above lowest polymorph: 0.09 eV per formula unit
* volume: 75.4 Å³/cell
* calculated density: 13.16 Mg/m³
* total magnetic moment: 0.000 μB per atom


# 3
DFT (GGA-PBE) results for crystalline CdRe at its relaxed geometry.

a b c (Å): 5.183 5.183 5.183
angles (deg): 31.80 31.80 31.80
Fractional positions:
Cd 0.000 0.000 0.000
Re 0.500 0.500 0.500

* E above lowest polymorph: 0.92 eV per formula unit
* volume: 34.3 Å³/cell
* calculated density: 14.45 Mg/m³
* total magnetic moment: 0.000 μB per atom


# 4
DFT (GGA-PBE) results for crystalline Cd3Re at its relaxed geometry.

a b c (Å): 4.746 5.480 5.896
angles (deg): 90.00 90.00 90.00
Site moments in Bohr magnetons follow the coordinates.
Fractional positions:
Cd 0.000 0.356 0.500  -0.01
Cd 0.500 0.159 0.251  -0.01
Cd 0.500 0.159 0.749  -0.01
Cd 0.000 0.841 0.249  -0.01
Cd 0.500 0.644 0.000  -0.01
Cd 0.000 0.841 0.751  -0.01
Re 0.000 0.340 0.000  1.01
Re 0.500 0.660 0.500  1.01

* E above lowest polymorph: 1.15 eV per formula unit
* volume: 153.3 Å³/cell
* calculated density: 11.34 Mg/m³
* total magnetic moment: 0.276 μB per atom


> Look up the total magnetic moment of the fourth one.

0.276 μB per atom